Density functional theory data (GGA-PBE) for an optimized crystal structure of BaSc2Os.

Geometry as POSCAR:
```
BaSc2Os
1.0
4.2381 -0.0443 0.0540
2.1551 3.6495 0.0540
2.0435 1.1523 7.6778
Os Ba Sc
1 1 2
Direct
0.2500 0.2500 0.2500
0.7500 0.7500 0.7500
0.9610 0.9610 0.1177
0.5390 0.5390 0.3823
```

Values from the calculation:
- raw total energy (Ha/atom) = -0.235
- energy of formation from the pure elements (eV/atom) = 0.052

***

Density functional theory data (GGA-PBE) for an optimized crystal structure of BaSc2Os.

Geometry as POSCAR:
```
BaSc2Os
1.0
4.7011 0.0000 0.0000
0.0000 4.4790 0.0000
0.0000 0.0000 4.4790
Ba Sc Os
1 2 1
Direct
0.5000 0.5000 0.0000
0.0000 0.0000 0.0000
0.0000 0.5000 0.5000
0.5000 0.0000 0.5000
```

Values from the calculation:
- raw total energy (Ha/atom) = -0.215
- energy of formation from the pure elements (eV/atom) = 0.613

***

| no. | E above lowest polymorph (meV/atom) |
| --- | --- |
| 1 | 160 |
| 2 | 722 |